Record 1
A plane-wave DFT calculation with GGA-PBE was carried out for a relaxed Sr5ScTl6 crystal.

Lattice parameters (Å, degrees): 9.8007 9.8007 5.6902 106.62 106.62 48.09
Element x y z (fractional)
Sr1 0.0000 0.0000 0.0000
Sr2 0.1612 0.1612 0.6613
Sr3 0.3188 0.3188 0.3184
Sr4 0.6812 0.6812 0.6816
Sr5 0.8388 0.8388 0.3387
Sc1 0.5000 0.5000 0.0000
Tl1 0.1225 0.5695 0.8457
Tl2 0.2867 0.7133 0.5000
Tl3 0.4305 0.8775 0.1543
Tl4 0.5695 0.1225 0.8457
Tl5 0.7133 0.2867 0.5000
Tl6 0.8775 0.4305 0.1543

Calculated values
N(E_F) in states/eV per atom: 0.580
E_tot in eV/cell: -33.5
Formation energy in meV/atom: -376

Record 2
A plane-wave DFT calculation with GGA-PBE was carried out for a relaxed Dy3Pt crystal.

Lattice parameters (Å, degrees): 8.8848 8.8848 6.1064 110.03 110.03 83.30
Element x y z (fractional)
Dy1 0.0000 0.0000 0.0000
Dy2 0.0001 0.2865 0.6444
Dy3 0.1653 0.6434 0.1537
Dy4 0.3568 0.0513 0.4939
Dy5 0.3571 0.2357 0.0869
Dy6 0.3571 0.4519 0.6563
Dy7 0.3566 0.8347 0.8463
Dy8 0.5481 0.6429 0.3437
Dy9 0.7135 0.9999 0.3556
Dy10 0.7136 0.2864 0.0000
Dy11 0.7643 0.6429 0.9131
Dy12 0.9487 0.6432 0.5061
Pt1 0.0633 0.3500 0.2072
Pt2 0.0633 0.9367 0.5000
Pt3 0.6504 0.3496 0.5000
Pt4 0.6500 0.9367 0.7928

Calculated values
N(E_F) in states/eV per atom: 1.486
E_tot in eV/cell: -89.7
Formation energy in meV/atom: -647

Record 3
A plane-wave DFT calculation with GGA-PBE was carried out for a relaxed NdSn3Pd7 crystal.

Lattice parameters (Å, degrees): 6.4752 6.4752 5.6612 104.34 104.34 98.86
Element x y z (fractional)
Nd1 0.0000 0.0000 0.0000
Sn1 0.2699 0.7301 0.5000
Sn2 0.5000 0.5000 0.0000
Sn3 0.7301 0.2699 0.5000
Pd1 0.0000 0.0000 0.5000
Pd2 0.0944 0.5452 0.8151
Pd3 0.3166 0.3166 0.4605
Pd4 0.4548 0.9056 0.1849
Pd5 0.5452 0.0944 0.8151
Pd6 0.6834 0.6834 0.5395
Pd7 0.9056 0.4548 0.1849

Calculated values
N(E_F) in states/eV per atom: 0.436
E_tot in eV/cell: -58.5
Formation energy in meV/atom: -489

Record 4
A plane-wave DFT calculation with GGA-PBE was carried out for a relaxed Mg2Ga5 crystal.

Lattice parameters (Å, degrees): 7.1152 7.1152 7.1152 104.59 104.59 119.76
Element x y z (fractional)
Mg1 0.2009 0.2009 0.4018
Mg2 0.2009 0.7991 0.0000
Mg3 0.7991 0.2009 0.0000
Mg4 0.7991 0.7991 0.5982
Ga1 0.0186 0.3169 0.7017
Ga2 0.2098 0.2098 0.0000
Ga3 0.3169 0.0186 0.7017
Ga4 0.3169 0.6152 0.2983
Ga5 0.3848 0.6831 0.7017
Ga6 0.6152 0.3169 0.2983
Ga7 0.6831 0.3848 0.7017
Ga8 0.6831 0.9814 0.2983
Ga9 0.7902 0.7902 0.0000
Ga10 0.9814 0.6831 0.2983

Calculated values
Offset from the most stable computed form in eV/atom: 0.000
N(E_F) in states/eV per atom: 0.208
E_tot in eV/cell: -38.5
Formation energy in meV/atom: -129

Record 5
A plane-wave DFT calculation with GGA-PBE was carried out for a relaxed Pm6Sn2Hg crystal.

Lattice parameters (Å, degrees): 8.5294 8.5294 4.4593 90.00 90.00 120.00
Element x y z (fractional)
Pm1 0.0000 0.2578 0.0000
Pm2 0.0000 0.5899 0.5000
Pm3 0.2578 0.0000 0.0000
Pm4 0.4101 0.4101 0.5000
Pm5 0.5899 0.0000 0.5000
Pm6 0.7422 0.7422 0.0000
Sn1 0.3333 0.6667 0.0000
Sn2 0.6667 0.3333 0.0000
Hg1 0.0000 0.0000 0.5000

Calculated values
N(E_F) in states/eV per atom: 1.047
E_tot in eV/cell: -41.1
Formation energy in meV/atom: -476

Record 6
A plane-wave DFT calculation with GGA-PBE was carried out for a relaxed NdIn4Cl7 crystal.

Lattice parameters (Å, degrees): 10.8877 10.8877 7.5551 107.16 107.16 28.75
Element x y z (fractional)
Nd1 0.0000 0.0000 0.0000
In1 0.2967 0.2967 0.7559
In2 0.4144 0.4144 0.3734
In3 0.5856 0.5856 0.6266
In4 0.7033 0.7033 0.2441
Cl1 0.0820 0.0820 0.3582
Cl2 0.1117 0.1117 0.8839
Cl3 0.2785 0.2785 0.3552
Cl4 0.5000 0.5000 0.0000
Cl5 0.7215 0.7215 0.6448
Cl6 0.8883 0.8883 0.1161
Cl7 0.9180 0.9180 0.6418

Calculated values
N(E_F) in states/eV per atom: 0.000
E_tot in eV/cell: -44.0